Entry from the Alexandria database: Tm3SnSe6 after structural relaxation (PBE).

Its uncorrected formation energy is -14.112 eV/f.u. The calculated total energy is -5.2436 eV per atom. As for the volume: 529 Å³/cell. The space group is Cmc2_1, No. 36.

abc: 6.950 8.829 8.829
angles: 102.71 90.00 90.00
Positions (direct):
Tm 0.485 0.915 0.712
Tm 0.985 0.712 0.915
Tm 0.379 0.407 0.593
Tm 0.879 0.593 0.407
Tm 0.985 0.085 0.288
Tm 0.485 0.288 0.085
Sn 0.998 0.174 0.826
Sn 0.498 0.826 0.174
Se 0.176 0.700 0.632
Se 0.676 0.632 0.700
Se 0.205 0.436 0.902
Se 0.705 0.902 0.436
Se 0.255 0.008 0.992
Se 0.622 0.231 0.769
Se 0.122 0.769 0.231
Se 0.755 0.992 0.008
Se 0.205 0.098 0.564
Se 0.705 0.564 0.098
Se 0.176 0.368 0.300
Se 0.676 0.300 0.368